Record 1
Material: CdHg6
Method: DFT, GGA-PBE
State: relaxed

a b c (Å): 7.3484 7.3484 7.3484
angles (deg): 109.47 109.47 109.47
Positions (direct):
Hg: 0.2500 0.5000 0.7500
Hg: 0.5000 0.7500 0.2500
Hg: 0.7500 0.5000 0.2500
Hg: 0.5000 0.2500 0.7500
Hg: 0.7500 0.2500 0.5000
Hg: 0.2500 0.7500 0.5000
Cd: 0.0000 0.0000 0.0000


Record 2
Material: CdHg3
Method: DFT, GGA-PBE
State: relaxed

a b c (Å): 3.5829 8.3636 8.5688
angles (deg): 119.21 90.00 90.00
Positions (direct):
Hg: 0.2500 0.7552 0.5104
Hg: 0.2500 0.2822 0.1895
Hg: 0.7500 0.7178 0.8105
Hg: 0.7500 0.2448 0.4896
Hg: 0.7500 0.0927 0.8105
Hg: 0.2500 0.9073 0.1895
Cd: 0.2500 0.4139 0.8278
Cd: 0.7500 0.5861 0.1722


How do the records compare in energy of formation from the pure elements? In the order shown, they have 0.209, 0.034 eV per atom.
How do the records compare in distance to the lowest polymorph of the same formula? In the order shown, they have 175, 16 meV per atom.
How do the records compare in raw total energy? In the order shown, they have -0.1807, -0.4208 eV/atom.